[1]
Density functional theory data (PBE) for a geometry-optimized La2GaBr structure.

Results
Space-group type ... C2/c (15)
Electronic total energy ... -0.170 hartree per atom

abc: 7.679 7.702 9.846
angles: 104.91 104.82 110.07
Atoms (fractional coordinates):
La  0.183  0.943  0.376
La  0.693  0.433  0.376
La  0.817  0.057  0.624
La  0.054  0.293  0.126
La  0.307  0.567  0.624
La  0.428  0.167  0.874
La  0.572  0.833  0.126
La  0.946  0.707  0.874
Br  0.435  0.685  0.370
Br  0.190  0.440  0.879
Br  0.565  0.315  0.630
Br  0.810  0.560  0.121
Ga  0.318  0.068  0.135
Ga  0.682  0.932  0.865
Ga  0.058  0.808  0.617
Ga  0.942  0.192  0.383

=====

[2]
Density functional theory data (PBE) for a geometry-optimized ZrSc2TiN structure.

Results
Space-group type ... P4/mmm (123)
Electronic total energy ... -0.296 hartree per atom

abc: 4.585 4.585 4.165
angles: 90.00 90.00 90.00
Atoms (fractional coordinates):
N  0.000  0.000  0.000
Zr  0.500  0.500  0.500
Sc  0.000  0.500  0.000
Sc  0.500  0.000  0.000
Ti  0.000  0.000  0.500

=====

Q: Number 1 is which compound?
A: La2GaBr

=====

Q: What is the formula in the first record?
A: La2GaBr

=====

Q: The highest electronic total energy belongs to which entry?
A: La2GaBr